Computed, not measured: a relaxed structure of HfNiAu2 at the PBE level of DFT.

Cell and atoms, written as POSCAR:
```
HfNiAu2
1.0
2.281 1.317 3.724
-2.281 1.317 3.724
0.000 -2.633 3.724
Ni Hf Au
1 1 2
Cartesian
0.000 0.000 0.000
0.000 0.000 2.793
0.000 0.000 5.586
0.000 0.000 8.380
```

Summary:
Formation energy = -134.2 kJ/mol of formula units
V = 67.11 Å³/cell
M_tot = 0.001 μB/f.u.